[1]
A geometry-optimized CoRe2Pt structure, computed with PBE.

abc: 8.9387 2.6733 4.7741
angles: 90.00 98.96 90.00
Last column: nearest neighbours and their distance in Å.
Space group Cm (No. 8)
Symmetry-distinct sites (fractional):
Co1 0.0000 0.0000 0.0000 [2 per cell]  7 Re 2.59-2.83, 3 Pt 2.65-2.79, 2 Co 2.67
Re1 0.2376 0.5000 0.2222 [2 per cell]  3 Co 2.59-2.72, 4 Pt 2.67-2.81, 5 Re 2.67-2.75
Re2 0.4915 0.0000 0.4757 [2 per cell]  4 Co 2.65-2.83, 5 Re 2.67-2.75, 3 Pt 2.74
Pt1 0.2412 0.0000 0.7403 [2 per cell]  3 Co 2.65-2.79, 7 Re 2.67-2.81, 2 Pt 2.67

excess energy over the best structure of this formula in the dataset	0.029	eV per atom

***

[2]
A geometry-optimized CoRePt structure, computed with PBE.

abc: 2.6935 3.7401 8.1149
angles: 90.00 90.00 90.00
Last column: nearest neighbours and their distance in Å.
Space group Imm2 (No. 44)
Symmetry-distinct sites (fractional):
Co1 0.0000 0.0000 0.0000 [2 per cell]  5 Re 2.59-2.87, 5 Pt 2.64-2.71, 2 Co 2.69
Re1 0.0000 0.0000 0.3539 [2 per cell]  5 Co 2.59-2.87, 5 Pt 2.61-2.72, 2 Re 2.69
Pt1 0.0000 0.0000 0.6752 [2 per cell]  5 Re 2.61-2.72, 5 Co 2.64-2.71, 2 Pt 2.69

excess energy over the best structure of this formula in the dataset	0.015	eV per atom

***

[3]
A geometry-optimized Co3RePt12 structure, computed with PBE.

abc: 3.9064 3.9064 15.5905
angles: 90.00 90.00 90.00
Last column: nearest neighbours and their distance in Å.
Space group P4/mmm (No. 123)
Symmetry-distinct sites (fractional):
Co1 0.0000 0.0000 0.0000 [1 per cell]  12 Pt 2.75-2.76
Co2 0.0000 0.0000 0.2449 [2 per cell]  12 Pt 2.71-2.81
Re1 0.0000 0.0000 0.5000 [1 per cell]  12 Pt 2.76-2.77
Pt1 0.0000 0.5000 0.1241 [4 per cell]  4 Co 2.71-2.75, 8 Pt 2.75-2.76
Pt2 0.0000 0.5000 0.3740 [4 per cell]  8 Pt 2.76-2.77, 2 Re 2.77, 2 Co 2.81
Pt3 0.5000 0.5000 0.0000 [1 per cell]  8 Pt 2.75, 4 Co 2.76
Pt4 0.5000 0.5000 0.2484 [2 per cell]  8 Pt 2.75-2.77, 4 Co 2.76
Pt5 0.5000 0.5000 0.5000 [1 per cell]  4 Re 2.76, 8 Pt 2.77

***

[4]
A geometry-optimized Co3RePt structure, computed with PBE.

abc: 4.5096 4.5096 4.5096
angles: 90.00 90.00 90.00
Last column: nearest neighbours and their distance in Å.
Space group Pm-3m (No. 221)
Symmetry-distinct sites (fractional):
Co1 0.0000 0.0000 0.5000 [3 per cell]  2 Pt 2.25
Re1 0.5000 0.5000 0.5000 [1 per cell]  12 Co 3.19
Pt1 0.0000 0.0000 0.0000 [1 per cell]  6 Co 2.25

excess energy over the best structure of this formula in the dataset	0.340	eV per atom

***

[5]
A geometry-optimized CoRePt structure, computed with PBE.

abc: 2.7239 2.7239 6.5182
angles: 90.00 90.00 120.00
Last column: nearest neighbours and their distance in Å.
Space group P3m1 (No. 156)
Symmetry-distinct sites (fractional):
Co1 0.0000 0.0000 0.0000 [1 per cell]  3 Re 2.54, 3 Pt 2.70, 6 Co 2.72
Re1 0.3333 0.6667 0.6939 [1 per cell]  3 Co 2.54, 6 Re 2.72, 3 Pt 2.81
Pt1 0.6667 0.3333 0.3360 [1 per cell]  3 Co 2.70, 6 Pt 2.72, 3 Re 2.81

excess energy over the best structure of this formula in the dataset	0.125	eV per atom

***

[6]
A geometry-optimized CoRe2Pt structure, computed with PBE.

abc: 6.1357 6.1357 6.1357
angles: 90.00 90.00 90.00
Last column: nearest neighbours and their distance in Å.
Space group Fm-3m (No. 225)
Symmetry-distinct sites (fractional):
Co1 0.0000 0.0000 0.0000 [4 per cell]  8 Re 2.66
Re1 0.2500 0.2500 0.2500 [8 per cell]  4 Co 2.66, 4 Pt 2.66
Pt1 0.0000 0.0000 0.5000 [4 per cell]  8 Re 2.66

excess energy over the best structure of this formula in the dataset	0.498	eV per atom

***

[7]
A geometry-optimized CoRePt structure, computed with PBE.

abc: 5.6918 5.6918 5.6918
angles: 90.00 90.00 90.00
Last column: nearest neighbours and their distance in Å.
Space group F-43m (No. 216)
Symmetry-distinct sites (fractional):
Co1 0.0000 0.0000 0.0000 [4 per cell]  4 Re 2.46, 4 Pt 2.46
Re1 0.2500 0.2500 0.2500 [4 per cell]  4 Co 2.46
Pt1 0.2500 0.2500 0.7500 [4 per cell]  4 Co 2.46

excess energy over the best structure of this formula in the dataset	0.541	eV per atom

***

[8]
A geometry-optimized CoRe2Pt structure, computed with PBE.

abc: 9.0395 2.7168 4.6707
angles: 90.00 100.21 90.00
Last column: nearest neighbours and their distance in Å.
Space group C2/m (No. 12)
Symmetry-distinct sites (fractional):
Co1 0.0000 0.0000 0.0000 [2 per cell]  6 Re 2.68-2.72, 4 Pt 2.70, 2 Co 2.72
Re1 0.2467 0.5000 0.2395 [4 per cell]  6 Re 2.63-2.78, 3 Co 2.68-2.72, 3 Pt 2.72-2.75
Pt1 0.0000 0.5000 0.5000 [2 per cell]  4 Co 2.70, 2 Pt 2.72, 6 Re 2.72-2.75

excess energy over the best structure of this formula in the dataset	0.051	eV per atom

***

[9]
A geometry-optimized CoRePt structure, computed with PBE.

abc: 4.6944 7.9420 4.6759
angles: 90.00 110.59 90.00
Last column: nearest neighbours and their distance in Å.
Space group C2/c (No. 15)
Symmetry-distinct sites (fractional):
Co1 0.0000 0.0833 0.2500 [4 per cell]  5 Re 2.57-2.74, 5 Pt 2.62-2.71, 2 Co 2.69
Re1 0.0000 0.2398 0.7500 [4 per cell]  5 Co 2.57-2.74, 5 Pt 2.64-2.76, 2 Re 2.67
Pt1 0.0000 0.4128 0.2500 [4 per cell]  5 Co 2.62-2.71, 5 Re 2.64-2.76, 2 Pt 2.72

excess energy over the best structure of this formula in the dataset	0.019	eV per atom

***

[10]
A geometry-optimized CoRePt2 structure, computed with PBE.

abc: 3.8245 3.8245 7.7353
angles: 90.00 90.00 90.00
Last column: nearest neighbours and their distance in Å.
Space group I-4m2 (No. 119)
Symmetry-distinct sites (fractional):
Co1 0.0000 0.0000 0.0000 [2 per cell]  8 Pt 2.70-2.72, 4 Re 2.72
Re1 0.0000 0.5000 0.2500 [2 per cell]  8 Pt 2.70-2.72, 4 Co 2.72
Pt1 0.0000 0.0000 0.5000 [2 per cell]  4 Co 2.70, 4 Re 2.72, 4 Pt 2.72
Pt2 0.0000 0.5000 0.7500 [2 per cell]  4 Re 2.70, 4 Pt 2.72, 4 Co 2.72

excess energy over the best structure of this formula in the dataset	0.082	eV per atom

***

[11]
A geometry-optimized CoRePt structure, computed with PBE.

abc: 4.2465 4.2465 2.6387
angles: 90.00 90.00 120.00
Last column: nearest neighbours and their distance in Å.
Space group P-6m2 (No. 187)
Symmetry-distinct sites (fractional):
Co1 0.0000 0.0000 0.0000 [1 per cell]  3 Pt 2.45, 2 Co 2.64
Re1 0.3333 0.6667 0.5000 [1 per cell]  2 Re 2.64, 6 Co 2.78, 6 Pt 2.78
Pt1 0.6667 0.3333 0.0000 [1 per cell]  3 Co 2.45, 2 Pt 2.64

excess energy over the best structure of this formula in the dataset	0.133	eV per atom

***

[12]
A geometry-optimized CoRePt2 structure, computed with PBE.

abc: 2.7183 2.7183 7.6703
angles: 90.00 90.00 90.00
Last column: nearest neighbours and their distance in Å.
Space group P4mm (No. 99)
Symmetry-distinct sites (fractional):
Co1 0.0000 0.0000 0.0000 [1 per cell]  4 Re 2.53, 4 Pt 2.69, 4 Co 2.72
Re1 0.5000 0.5000 0.7847 [1 per cell]  4 Co 2.53, 4 Re 2.72, 4 Pt 2.77
Pt1 0.0000 0.0000 0.5244 [1 per cell]  8 Pt 2.72-2.88, 4 Re 2.77
Pt2 0.5000 0.5000 0.2445 [1 per cell]  4 Co 2.69, 8 Pt 2.72-2.88

excess energy over the best structure of this formula in the dataset	0.000	eV per atom

***

Taking the records one at a time from the top gives ΔH_f (0 K) values of 0.09, -0.20, -0.79, 9.33, 0.13, 1.97, 1.37, 0.18, -0.19, -0.02, 0.15, -0.35 eV/f.u..
Taking the records one at a time from the top gives mass density values of 18.46, 17.88, 18.87, 10.11, 17.45, 18.01, 15.86, 18.43, 17.92, 18.65, 17.74, 18.61 g/cm3.